The following is a DFT calculation (SCAN) of a PBEsol-optimized structure of La2CuCl.

```
4
Lattice="4.545 0.000 0.000 0.000 1.833 5.726 0.000 -1.833 5.726" Properties=species:S:1:pos:R:3 pbc="T T T"
La 0.000 0.000 0.000
La 2.272 0.000 2.860
Cu 2.272 0.000 5.792
Cl 0.000 0.000 8.486
```

Properties
* excess energy over the best structure of this formula in the dataset: 0.149 eV/atom
* density of states at the Fermi level: 2.97 states/eV/cell
* space-group type: No. 38
* final energy: -28.22 eV/atom
* V: 95.4 Å³ per cell